VO2F | GGA+U | optimized geometry

Cell lengths 9.4432, 5.2178, 12.8584 Å; angles 90.00, 90.96, 90.00 degrees
Closest atoms and distances in Å follow each position.
Space group Cc (No. 9)
Symmetry-distinct sites (fractional):
V (0.0000, 0.0148, 0.0000) (multiplicity 4)  2 O 1.64-1.77
V (0.1615, 0.4695, 0.1666) (multiplicity 4)  2 O 1.64-1.73
V (0.3299, 0.0523, 0.8384) (multiplicity 4)  3 O 1.66-1.84
O (0.0226, 0.4272, 0.2391) (multiplicity 4)  1 V 1.64
O (0.1229, 0.2861, 0.0581) (multiplicity 4)  1 V 1.73
O (0.1979, 0.0407, 0.4130) (multiplicity 4)  1 V 1.66
O (0.2610, 0.2910, 0.7638) (multiplicity 4)  1 V 1.70
O (0.3646, 0.4254, 0.5742) (multiplicity 4)  1 V 1.64
O (0.4377, 0.2453, 0.9290) (multiplicity 4)  2 V 1.77-1.84
F (0.0996, 0.2098, 0.6013) (multiplicity 4)  2 V 1.96-1.98
F (0.2872, 0.2162, 0.2260) (multiplicity 4)  2 V 1.93-2.05
F (0.4565, 0.2589, 0.3894) (multiplicity 4)  2 V 1.89-2.11

Output
Crystal system ... monoclinic
Spin magnetization ... 0.000 μB per atom
E ... -6.79 eV/atom